# 1
The following is a GGA-PBE calculation of a relaxed Nd8Zn2Pb crystal, from the Alexandria database.

a b c (Å): 5.1054 8.2899 9.0734
angles (deg): 113.88 106.34 90.00
Closest atoms and distances in Å follow each position.
Positions (direct):
Nd1 0.4002 0.5340 0.8003  2 Zn 3.14, 1 Pb 3.50
Nd2 0.6809 0.9604 0.3619  1 Zn 3.00, 1 Pb 3.30
Nd3 0.8333 0.7528 0.6666  3 Zn 3.11-3.26
Nd4 0.9511 0.2579 0.9023  1 Zn 3.12, 2 Nd 3.40
Nd5 0.1667 0.2472 0.3334  3 Zn 3.11-3.26
Nd6 0.3191 0.0396 0.6381  1 Zn 3.00, 1 Pb 3.30
Nd7 0.5998 0.4660 0.1997  2 Zn 3.14, 1 Pb 3.50
Nd8 0.0489 0.7421 0.0977  1 Zn 3.12, 2 Nd 3.40
Zn1 0.7949 0.3504 0.5898  7 Nd 3.00-3.26
Zn2 0.2051 0.6496 0.4102  7 Nd 3.00-3.26
Pb1 0.5000 0.0000 0.0000  8 Nd 3.30-3.65

Output
M_tot = 0.000 Bohr magnetons per cell
Final energy = -4.22 eV/atom
Energy relative to the elements = -0.19 eV/atom

---

# 2
The following is a GGA-PBE calculation of a relaxed NaLiPb2 crystal, from the Alexandria database.

a b c (Å): 3.4755 3.4755 10.2600
angles (deg): 80.25 80.25 60.00
Closest atoms and distances in Å follow each position.
Positions (direct):
Pb1 0.7427 0.7427 0.7718  3 Li 3.05, 3 Na 3.39
Pb2 0.2573 0.2573 0.2282  3 Li 3.05, 3 Na 3.39
Na1 0.5000 0.5000 0.5000  6 Pb 3.39, 6 Na 3.48
Li1 0.0000 0.0000 0.0000  6 Pb 3.05

Output
M_tot = 0.000 Bohr magnetons per cell
Final energy = -2.78 eV/atom
Energy relative to the elements = -0.12 eV/atom

---

# 3
The following is a GGA-PBE calculation of a relaxed Li3NiPt2 crystal, from the Alexandria database.

a b c (Å): 2.7908 4.2777 7.0979
angles (deg): 107.54 90.00 90.00
Closest atoms and distances in Å follow each position.
Positions (direct):
Li1 0.0000 0.6783 0.3566  6 Pt 2.58-2.67, 4 Li 2.79
Li2 0.0000 0.3217 0.6434  6 Pt 2.58-2.67, 4 Li 2.79
Li3 0.5000 0.5000 0.0000  4 Ni 2.55, 6 Li 2.79
Ni1 0.0000 0.0000 0.0000  4 Pt 2.51, 4 Li 2.55, 2 Ni 2.79
Pt1 0.5000 0.8462 0.6925  2 Ni 2.51, 6 Li 2.58-2.67, 2 Pt 2.79
Pt2 0.5000 0.1538 0.3075  2 Ni 2.51, 6 Li 2.58-2.67, 2 Pt 2.79

Output
M_tot = 0.001 Bohr magnetons per cell
Final energy = -4.33 eV/atom
Energy relative to the elements = -0.40 eV/atom